VASP calculation (GGA-PBEsol) on a relaxed Li3Fe4CuO8 crystal.

Geometry as POSCAR:
```
Li3Fe4CuO8
1.0
4.938 -2.905 0.000
4.938 2.905 0.000
-3.485 0.000 4.814
Li Fe Cu O
3 4 1 8
Direct
0.000 0.000 0.000
0.000 0.500 0.500
0.500 0.000 0.500
0.000 0.000 0.500
0.000 0.500 0.000
0.500 0.000 0.000
0.500 0.500 0.000
0.500 0.500 0.500
0.236 0.741 0.235
0.249 0.249 0.723
0.250 0.250 0.206
0.259 0.764 0.765
0.741 0.236 0.235
0.750 0.750 0.794
0.751 0.751 0.277
0.764 0.259 0.765
```

Results
space group	C2/m, No. 12
electronic total energy	-0.251	Ha/atom

***

VASP calculation (GGA-PBEsol) on a relaxed Li2FeCuO4 crystal.

Geometry as POSCAR:
```
Li2FeCuO4
1.0
-2.012 2.012 4.131
2.012 -2.012 4.131
2.012 2.012 -4.131
Li Fe Cu O
2 1 1 4
Direct
0.000 0.000 0.000
0.750 0.250 0.500
0.500 0.500 0.000
0.250 0.750 0.500
0.009 0.509 0.500
0.278 0.278 0.000
0.491 0.991 0.500
0.722 0.722 0.000
```

Results
space group	I-4m2, No. 119
energy above the lowest structure with this stoichiometry	45	meV/atom
electronic total energy	-0.226	Ha/atom

***

VASP calculation (GGA-PBEsol) on a relaxed Li5Fe3Cu2O10 crystal.

Geometry as POSCAR:
```
Li5Fe3Cu2O10
1.0
4.951 0.000 0.000
-0.833 4.893 0.000
-2.116 -2.305 7.016
Li Fe Cu O
5 3 2 10
Direct
0.000 0.000 0.000
0.207 0.106 0.716
0.426 0.695 0.917
0.574 0.305 0.083
0.793 0.894 0.284
0.000 0.500 0.500
0.412 0.197 0.397
0.588 0.803 0.603
0.184 0.601 0.178
0.816 0.399 0.822
0.049 0.269 0.287
0.201 0.351 0.950
0.240 0.861 0.455
0.379 0.457 0.626
0.412 0.978 0.176
0.588 0.022 0.824
0.621 0.543 0.374
0.760 0.139 0.545
0.799 0.649 0.050
0.951 0.731 0.713
```

Results
space group	P-1, No. 2
electronic total energy	-0.231	Ha/atom

***

Raw formation energy values, unit meV/atom, following the record order: -1319.6, -1367.4, -1387.0.
Density of states at the Fermi level values, unit states/eV/cell, following the record order: 6.733, 3.692, 6.428.